PmEr2Se | PBE | optimized geometry

As for the volume: 29.2 A^3/atom. For the formation energy without anion corrections, the calculation gives -794 meV/atom. The calculation puts the magnetic moment at 0.49 μB/f.u. As for the symmetry: No. 160.

Lattice parameters (Å, degrees): 9.7516 9.7516 9.7516 22.26 22.26 22.26
Sites, in units of the cell vectors:
Pm: 0.0000 0.0000 0.0000
Er: 0.5654 0.5654 0.5654
Er: 0.7690 0.7690 0.7690
Se: 0.1671 0.1671 0.1671


Cd2TcBr | PBE | optimized geometry

As for the volume: 26.7 A^3/atom. For the formation energy without anion corrections, the calculation gives 621 meV/atom. The calculation puts the magnetic moment at 0.00 μB/f.u. As for the symmetry: No. 122.

Lattice parameters (Å, degrees): 7.1058 7.1058 7.1058 96.43 96.43 140.90
Sites, in units of the cell vectors:
Cd: 0.0179 0.6250 0.8929
Cd: 0.3750 0.2679 0.3929
Cd: 0.7321 0.1250 0.1071
Cd: 0.8750 0.9821 0.6071
Tc: 0.0000 0.0000 0.0000
Tc: 0.7500 0.2500 0.5000
Br: 0.2500 0.7500 0.5000
Br: 0.5000 0.5000 0.0000


Nb2InHPt | PBE | optimized geometry

As for the volume: 14.8 A^3/atom. The value obtained for the total energy is -33.5 eV for the cell shown. The calculation puts the magnetic moment at 0.00 μB/f.u. As for the symmetry: No. 123.

Lattice parameters (Å, degrees): 4.0573 4.0573 4.5073 90.00 90.00 90.00
Sites, in units of the cell vectors:
Nb: 0.0000 0.5000 0.0000
Nb: 0.5000 0.0000 0.0000
In: 0.0000 0.0000 0.5000
H: 0.5000 0.5000 0.0000
Pt: 0.5000 0.5000 0.5000


Dy4ZnIr | PBE | optimized geometry

For the formation enthalpy at 0 K, the calculation gives -0.33 eV per atom. As for the volume: 27.3 A^3/atom. The calculation puts the magnetic moment at 0.00 μB/f.u. As for the symmetry: No. 12.

Lattice parameters (Å, degrees): 4.8714 4.8714 6.9114 90.05 90.05 90.00
Sites, in units of the cell vectors:
Dy: 0.9997 0.4999 0.2384
Dy: 0.0003 0.5001 0.7616
Dy: 0.4999 0.9997 0.2384
Dy: 0.5001 0.0003 0.7616
Zn: 0.0000 0.0000 0.5000
Ir: 0.5000 0.5000 0.0000


TbY5Er | PBE | optimized geometry

For the formation enthalpy at 0 K, the calculation gives 0.19 eV per atom. As for the volume: 32.7 A^3/atom. The calculation puts the magnetic moment at 0.00 μB/f.u. As for the symmetry: No. 15.

Lattice parameters (Å, degrees): 6.2241 6.2241 13.2274 92.65 92.65 63.60
Sites, in units of the cell vectors:
Tb: 0.2272 0.7728 0.7500
Tb: 0.7728 0.2272 0.2500
Y: 0.2406 0.7594 0.2500
Y: 0.2491 0.2676 0.6591
Y: 0.2676 0.2491 0.1591
Y: 0.3283 0.3445 0.9204
Y: 0.3445 0.3283 0.4204
Y: 0.6555 0.6717 0.5796
Y: 0.6717 0.6555 0.0796
Y: 0.7324 0.7509 0.8409
Y: 0.7509 0.7324 0.3409
Y: 0.7594 0.2406 0.7500
Er: 0.0000 0.0000 0.0000
Er: 0.0000 0.0000 0.5000


Sn2PtRhW | PBE | optimized geometry

For the formation enthalpy at 0 K, the calculation gives 1.12 eV per atom. As for the volume: 25.2 A^3/atom. The calculation puts the magnetic moment at 0.00 μB/f.u. As for the symmetry: No. 123.

Lattice parameters (Å, degrees): 5.1899 5.1899 4.6705 90.00 90.00 90.00
Sites, in units of the cell vectors:
Sn: 0.0000 0.5000 0.0000
Sn: 0.5000 0.0000 0.0000
Pt: 0.0000 0.0000 0.5000
Rh: 0.5000 0.5000 0.5000
W: 0.5000 0.5000 0.0000


LiSiAgH6 | PBE | optimized geometry

As for the volume: 8.7 A^3/atom. The value obtained for the total energy is -29.7 eV for the cell shown. The calculation puts the magnetic moment at 0.00 μB/f.u. As for the symmetry: No. 149.

Lattice parameters (Å, degrees): 4.6307 4.6307 4.2391 90.00 90.00 120.00
Sites, in units of the cell vectors:
Li: 0.0000 0.0000 0.0000
Si: 0.3333 0.6667 0.0000
Ag: 0.6667 0.3333 0.5000
H: 0.0458 0.3795 0.2220
H: 0.0458 0.6662 0.7780
H: 0.3338 0.3795 0.7780
H: 0.3338 0.9542 0.2220
H: 0.6205 0.6662 0.2220
H: 0.6205 0.9542 0.7780


Re2RuAu | PBE | optimized geometry

For the formation enthalpy at 0 K, the calculation gives 0.38 eV per atom. As for the volume: 15.2 A^3/atom. The calculation puts the magnetic moment at 0.00 μB/f.u. As for the symmetry: No. 65.

Lattice parameters (Å, degrees): 4.8344 4.8344 2.7895 90.00 90.00 111.35
Sites, in units of the cell vectors:
Re: 0.0000 0.5000 0.0000
Re: 0.5000 0.0000 0.0000
Ru: 0.0000 0.0000 0.5000
Au: 0.5000 0.5000 0.5000


Si2TcNi | PBE | optimized geometry

As for the volume: 13.1 A^3/atom. For the formation energy without anion corrections, the calculation gives -114 meV/atom. The calculation puts the magnetic moment at 0.00 μB/f.u. As for the symmetry: No. 65.

Lattice parameters (Å, degrees): 2.7911 2.7911 7.3415 90.00 90.00 113.49
Sites, in units of the cell vectors:
Si: 0.0000 0.0000 0.2423
Si: 0.0000 0.0000 0.7577
Tc: 0.5000 0.5000 0.5000
Ni: 0.5000 0.5000 0.0000


Ac6Co2SBr3 | PBE | optimized geometry

As for the volume: 32.4 A^3/atom. For the formation energy without anion corrections, the calculation gives -1017 meV/atom. The calculation puts the magnetic moment at 0.00 μB/f.u. As for the symmetry: No. 12.

Lattice parameters (Å, degrees): 10.3556 10.3556 9.6536 108.71 108.71 23.45
Sites, in units of the cell vectors:
Ac: 0.0178 0.0178 0.2349
Ac: 0.3194 0.3194 0.4569
Ac: 0.3365 0.3365 0.8748
Ac: 0.6635 0.6635 0.1252
Ac: 0.6806 0.6806 0.5431
Ac: 0.9822 0.9822 0.7651
Co: 0.1670 0.1670 0.3298
Co: 0.8330 0.8330 0.6702
S: 0.5000 0.5000 0.0000
Br: 0.1594 0.1594 0.8343
Br: 0.5000 0.5000 0.5000
Br: 0.8406 0.8406 0.1657


La2HgPdC | PBE | optimized geometry

For the formation enthalpy at 0 K, the calculation gives 0.14 eV per atom. As for the volume: 26.2 A^3/atom. The calculation puts the magnetic moment at 0.17 μB/f.u. As for the symmetry: No. 123.

Lattice parameters (Å, degrees): 5.8035 5.8035 3.8908 90.00 90.00 90.00
Sites, in units of the cell vectors:
La: 0.0000 0.5000 0.0000
La: 0.5000 0.0000 0.0000
Hg: 0.0000 0.0000 0.5000
Pd: 0.5000 0.5000 0.0000
C: 0.5000 0.5000 0.5000


SrLiGe | PBE | optimized geometry

For the formation enthalpy at 0 K, the calculation gives -0.24 eV per atom. As for the volume: 25.7 A^3/atom. The calculation puts the magnetic moment at 0.00 μB/f.u. As for the symmetry: No. 107.

Lattice parameters (Å, degrees): 6.0596 6.0596 6.0596 143.85 143.85 52.05
Sites, in units of the cell vectors:
Sr: 0.0000 0.0000 0.0000
Li: 0.7209 0.7209 0.0000
Ge: 0.3090 0.3090 0.0000